{"formula": "ScCr2ReSe", "functional": "PBEsol", "state": "relaxed", "total_magnetization_mub_per_fu": 3.36, "e_tot_ev_per_atom": -8.088, "volume_a3_per_fu": 87, "sg": "P4/mmm, No. 123", "cell": [[-2.078, -3.642, 1.155], [1.258, -1.893, -3.708], [3.811, -1.519, 2.068]], "species": ["Sc", "Re", "Se", "Cr", "Cr"], "frac_coords": [[0.500, 0.500, 0.500], [0.000, 0.000, 0.500], [0.000, 0.000, 0.000], [0.000, 0.500, 0.000], [0.500, 0.000, 0.000]]}

{"formula": "CrReSe2", "functional": "PBEsol", "state": "relaxed", "de_polymorph_ev_per_atom": 0.000, "total_magnetization_mub_per_fu": 0.00, "volume_a3_per_fu": 66, "sg": "P4mm, No. 99", "cell": [[-1.928, 1.556, -1.540], [-0.290, -2.215, -1.876], [-5.738, -2.874, 4.280]], "species": ["Cr", "Re", "Se", "Se"], "frac_coords": [[0.000, 0.000, 0.503], [0.500, 0.500, 0.736], [0.000, 0.000, 0.930], [0.500, 0.500, 0.331]]}

{"formula": "CrReSe2", "functional": "PBEsol", "state": "relaxed", "de_polymorph_ev_per_atom": 0.644, "total_magnetization_mub_per_fu": 3.27, "volume_a3_per_fu": 67, "sg": "P2/m, No. 10", "cell": [[3.379, 0.000, 0.163], [0.000, 4.023, 0.000], [-0.009, 0.000, 4.910]], "species": ["Cr", "Re", "Se", "Se"], "frac_coords": [[0.500, 0.500, 0.500], [0.000, 0.500, 0.000], [0.188, 0.000, 0.260], [0.812, 0.000, 0.740]]}